1.
A geometry-optimized CrTe2Os structure, computed with GGA-PBE.

Computed properties:
volume = 25.7 Å³ per atom
uncorrected formation energy = 0.217 eV per atom
space group = Immm

Cell and atoms, written as CIF:
```
data_CrTe2Os
_space_group_name_H-M_alt 'P 1'
_space_group_IT_number 1
_space_group_name_Hall 'P 1'
_cell_length_a 7.5682
_cell_length_b 7.5682
_cell_length_c 7.5682
_cell_angle_alpha 150.64
_cell_angle_beta 150.98
_cell_angle_gamma 41.75
loop_
_atom_site_label
_atom_site_type_symbol
_atom_site_fract_x
_atom_site_fract_y
_atom_site_fract_z
Os1 Os 0.2500 0.7500 0.5000
Te1 Te 0.3847 0.3847 0.0000
Cr1 Cr 0.7500 0.2500 0.5000
Te2 Te 0.1153 0.1153 0.0000
```

---

2.
A geometry-optimized CrTeOs structure, computed with GGA-PBE.

Computed properties:
volume = 19.4 Å³ per atom
uncorrected formation energy = 0.245 eV per atom
space group = Pm

Cell and atoms, written as CIF:
```
data_CrTeOs
_space_group_name_H-M_alt 'P 1'
_space_group_IT_number 1
_space_group_name_Hall 'P 1'
_cell_length_a 2.9044
_cell_length_b 3.7613
_cell_length_c 10.7773
_cell_angle_alpha 90.00
_cell_angle_beta 98.05
_cell_angle_gamma 90.00
loop_
_atom_site_label
_atom_site_type_symbol
_atom_site_fract_x
_atom_site_fract_y
_atom_site_fract_z
Os1 Os 0.7096 0.0000 0.4599
Cr1 Cr 0.1453 0.5000 0.3363
Cr2 Cr 0.5909 0.0000 0.2323
Te1 Te 0.0136 0.5000 0.0846
Te2 Te 0.3642 0.0000 0.7585
Os2 Os 0.2700 0.5000 0.5759
```